Density functional theory data (PBE with a Hubbard U) for Sr3CrB2O6 after structural relaxation.

Summary:
E = -6.92 eV/atom
SG = P-3m1

a b c (Å): 5.3605 5.3605 7.3371
angles (deg): 90.00 90.00 120.00
Fractional positions:
Cr 0.0000 0.0000 0.5000
O 0.8168 0.1832 0.7378
O 0.1832 0.3665 0.2622
O 0.6335 0.8168 0.2622
O 0.8168 0.6335 0.7378
O 0.3665 0.1832 0.7378
O 0.1832 0.8168 0.2622
B 0.6667 0.3333 0.7442
B 0.3333 0.6667 0.2558
Sr 0.6667 0.3333 0.2949
Sr 0.3333 0.6667 0.7051
Sr 0.0000 0.0000 0.0000